(1)
This record from Alexandria describes crystalline NbGe3I at its relaxed geometry. The functional is PBE.

Output
- V (Å³/cell) = 136
- energy above the lowest structure with this stoichiometry (eV/f.u.) = 0.000

```
data_NbGe3I
_cell_length_a 5.148
_cell_length_b 5.148
_cell_length_c 5.148
_cell_angle_alpha 90.00
_cell_angle_beta 90.00
_cell_angle_gamma 90.00
_space_group_name_H-M_alt 'P 1'
_space_group_IT_number 1
_space_group_name_Hall 'P 1'
loop_
_atom_site_label
_atom_site_type_symbol
_atom_site_fract_x
_atom_site_fract_y
_atom_site_fract_z
_atom_site_occupancy
Nb1 Nb 0.000 0.000 0.000 1
Ge1 Ge 0.000 0.000 0.500 1
Ge2 Ge 0.000 0.500 0.000 1
Ge3 Ge 0.500 0.000 0.000 1
I1 I 0.500 0.500 0.500 1
```


(2)
This record from Alexandria describes crystalline NbGe2I at its relaxed geometry. The functional is PBE.

Output
- V (Å³/cell) = 332
- energy above the lowest structure with this stoichiometry (eV/f.u.) = 0.458

```
data_NbGe2I
_cell_length_a 6.926
_cell_length_b 6.926
_cell_length_c 6.926
_cell_angle_alpha 90.00
_cell_angle_beta 90.00
_cell_angle_gamma 90.00
_space_group_name_H-M_alt 'P 1'
_space_group_IT_number 1
_space_group_name_Hall 'P 1'
loop_
_atom_site_label
_atom_site_type_symbol
_atom_site_fract_x
_atom_site_fract_y
_atom_site_fract_z
_atom_site_occupancy
Nb1 Nb 0.000 0.000 0.000 1
Nb2 Nb 0.000 0.500 0.500 1
Nb3 Nb 0.500 0.000 0.500 1
Nb4 Nb 0.500 0.500 0.000 1
Ge1 Ge 0.250 0.250 0.250 1
Ge2 Ge 0.250 0.250 0.750 1
Ge3 Ge 0.250 0.750 0.250 1
Ge4 Ge 0.250 0.750 0.750 1
Ge5 Ge 0.750 0.250 0.250 1
Ge6 Ge 0.750 0.250 0.750 1
Ge7 Ge 0.750 0.750 0.250 1
Ge8 Ge 0.750 0.750 0.750 1
I1 I 0.000 0.000 0.500 1
I2 I 0.000 0.500 0.000 1
I3 I 0.500 0.000 0.000 1
I4 I 0.500 0.500 0.500 1
```


(3)
This record from Alexandria describes crystalline NbGeIO2 at its relaxed geometry. The functional is PBE.

Output
- V (Å³/cell) = 90
- energy above the lowest structure with this stoichiometry (eV/f.u.) = 4.884

```
data_NbGeIO2
_cell_length_a 3.952
_cell_length_b 3.952
_cell_length_c 5.789
_cell_angle_alpha 90.00
_cell_angle_beta 90.00
_cell_angle_gamma 90.00
_space_group_name_H-M_alt 'P 1'
_space_group_IT_number 1
_space_group_name_Hall 'P 1'
loop_
_atom_site_label
_atom_site_type_symbol
_atom_site_fract_x
_atom_site_fract_y
_atom_site_fract_z
_atom_site_occupancy
Nb1 Nb 0.000 0.000 0.000 1
Ge1 Ge 0.500 0.500 0.500 1
I1 I 0.500 0.500 0.000 1
O1 O 0.000 0.500 0.500 1
O2 O 0.500 0.000 0.500 1
```


(4)
This record from Alexandria describes crystalline NbGeIO2 at its relaxed geometry. The functional is PBE.

Output
- V (Å³/cell) = 101
- energy above the lowest structure with this stoichiometry (eV/f.u.) = 0.000

```
data_NbGeIO2
_cell_length_a 4.035
_cell_length_b 4.035
_cell_length_c 6.216
_cell_angle_alpha 90.00
_cell_angle_beta 90.00
_cell_angle_gamma 90.00
_space_group_name_H-M_alt 'P 1'
_space_group_IT_number 1
_space_group_name_Hall 'P 1'
loop_
_atom_site_label
_atom_site_type_symbol
_atom_site_fract_x
_atom_site_fract_y
_atom_site_fract_z
_atom_site_occupancy
Nb1 Nb 0.000 0.000 0.000 1
Ge1 Ge 0.500 0.500 0.500 1
I1 I 0.000 0.000 0.500 1
O1 O 0.000 0.500 0.000 1
O2 O 0.500 0.000 0.000 1
```


(5)
This record from Alexandria describes crystalline Rb2NbGeI6 at its relaxed geometry. The functional is PBE.

Output
- V (Å³/cell) = 416
- total DFT energy (no corrections) (eV per atom) = -3.25

```
data_Rb2NbGeI6
_cell_length_a 8.378
_cell_length_b 8.378
_cell_length_c 8.378
_cell_angle_alpha 119.98
_cell_angle_beta 119.98
_cell_angle_gamma 90.04
_space_group_name_H-M_alt 'P 1'
_space_group_IT_number 1
_space_group_name_Hall 'P 1'
loop_
_atom_site_label
_atom_site_type_symbol
_atom_site_fract_x
_atom_site_fract_y
_atom_site_fract_z
_atom_site_occupancy
Rb1 Rb 0.250 0.750 0.500 1
Rb2 Rb 0.750 0.250 0.500 1
Nb1 Nb 0.000 0.000 0.000 1
Ge1 Ge 0.500 0.500 0.000 1
I1 I 0.246 0.246 0.000 1
I2 I 0.246 0.246 0.493 1
I3 I 0.246 0.754 0.000 1
I4 I 0.754 0.246 0.000 1
I5 I 0.754 0.754 0.000 1
I6 I 0.754 0.754 0.507 1
```


(6)
This record from Alexandria describes crystalline NbGeSb2I at its relaxed geometry. The functional is PBE.

Output
- V (Å³/cell) = 153
- energy above the lowest structure with this stoichiometry (eV/f.u.) = 2.238

```
data_NbGeSb2I
_cell_length_a 5.274
_cell_length_b 5.274
_cell_length_c 5.492
_cell_angle_alpha 90.00
_cell_angle_beta 90.00
_cell_angle_gamma 90.00
_space_group_name_H-M_alt 'P 1'
_space_group_IT_number 1
_space_group_name_Hall 'P 1'
loop_
_atom_site_label
_atom_site_type_symbol
_atom_site_fract_x
_atom_site_fract_y
_atom_site_fract_z
_atom_site_occupancy
Nb1 Nb 0.000 0.000 0.000 1
Ge1 Ge 0.500 0.500 0.500 1
Sb1 Sb 0.000 0.500 0.500 1
Sb2 Sb 0.500 0.000 0.500 1
I1 I 0.500 0.500 0.000 1
```


What did the fifth record say?
This record from Alexandria describes crystalline Rb2NbGeI6 at its relaxed geometry. The functional is PBE.

Output
- V (Å³/cell) = 416
- total DFT energy (no corrections) (eV per atom) = -3.25

```
data_Rb2NbGeI6
_cell_length_a 8.378
_cell_length_b 8.378
_cell_length_c 8.378
_cell_angle_alpha 119.98
_cell_angle_beta 119.98
_cell_angle_gamma 90.04
_space_group_name_H-M_alt 'P 1'
_space_group_IT_number 1
_space_group_name_Hall 'P 1'
loop_
_atom_site_label
_atom_site_type_symbol
_atom_site_fract_x
_atom_site_fract_y
_atom_site_fract_z
_atom_site_occupancy
Rb1 Rb 0.250 0.750 0.500 1
Rb2 Rb 0.750 0.250 0.500 1
Nb1 Nb 0.000 0.000 0.000 1
Ge1 Ge 0.500 0.500 0.000 1
I1 I 0.246 0.246 0.000 1
I2 I 0.246 0.246 0.493 1
I3 I 0.246 0.754 0.000 1
I4 I 0.754 0.246 0.000 1
I5 I 0.754 0.754 0.000 1
I6 I 0.754 0.754 0.507 1
```


Please write out number 1 again, unchanged.
This record from Alexandria describes crystalline NbGe3I at its relaxed geometry. The functional is PBE.

Output
- V (Å³/cell) = 136
- energy above the lowest structure with this stoichiometry (eV/f.u.) = 0.000

```
data_NbGe3I
_cell_length_a 5.148
_cell_length_b 5.148
_cell_length_c 5.148
_cell_angle_alpha 90.00
_cell_angle_beta 90.00
_cell_angle_gamma 90.00
_space_group_name_H-M_alt 'P 1'
_space_group_IT_number 1
_space_group_name_Hall 'P 1'
loop_
_atom_site_label
_atom_site_type_symbol
_atom_site_fract_x
_atom_site_fract_y
_atom_site_fract_z
_atom_site_occupancy
Nb1 Nb 0.000 0.000 0.000 1
Ge1 Ge 0.000 0.000 0.500 1
Ge2 Ge 0.000 0.500 0.000 1
Ge3 Ge 0.500 0.000 0.000 1
I1 I 0.500 0.500 0.500 1
```


Please write out number 1 again, unchanged.
This record from Alexandria describes crystalline NbGe3I at its relaxed geometry. The functional is PBE.

Output
- V (Å³/cell) = 136
- energy above the lowest structure with this stoichiometry (eV/f.u.) = 0.000

```
data_NbGe3I
_cell_length_a 5.148
_cell_length_b 5.148
_cell_length_c 5.148
_cell_angle_alpha 90.00
_cell_angle_beta 90.00
_cell_angle_gamma 90.00
_space_group_name_H-M_alt 'P 1'
_space_group_IT_number 1
_space_group_name_Hall 'P 1'
loop_
_atom_site_label
_atom_site_type_symbol
_atom_site_fract_x
_atom_site_fract_y
_atom_site_fract_z
_atom_site_occupancy
Nb1 Nb 0.000 0.000 0.000 1
Ge1 Ge 0.000 0.000 0.500 1
Ge2 Ge 0.000 0.500 0.000 1
Ge3 Ge 0.500 0.000 0.000 1
I1 I 0.500 0.500 0.500 1
```